Entry 1:
Entry from OQMD: a relaxed structure of Cu7Ag3 (PBE-GGA).

abc: 7.477 7.477 6.878
angles: 103.22 103.22 21.43
Positions (direct):
Ag 0.800 0.800 0.388
Ag 0.001 0.001 0.480
Ag 0.402 0.402 0.740
Cu 0.016 0.016 0.029
Cu 0.193 0.193 0.087
Cu 0.397 0.397 0.155
Cu 0.613 0.613 0.304
Cu 0.196 0.196 0.609
Cu 0.600 0.600 0.805
Cu 0.783 0.783 0.903

Computed properties:
The calculation puts the calculated formation energy at 0.073 eV per atom. Its electronic total energy is -3.377 eV/atom. The value obtained for the energy above the most stable polymorph in this dataset is 0.0279 eV per atom. For the calculated volume, the calculation gives 137 Å³/f.u. The symmetry is Cm (8).

***

Entry 2:
Entry from OQMD: a relaxed structure of TbYAu2N4 (PBE-GGA).

abc: 3.622 3.622 12.081
angles: 90.00 90.00 120.00
Positions (direct):
Au 0.333 0.667 0.250
Au 0.667 0.333 0.750
N 0.333 0.667 0.090
N 0.333 0.667 0.409
N 0.667 0.333 0.591
N 0.667 0.333 0.910
Tb 0.000 0.000 0.500
Y 0.000 0.000 0.000

Computed properties:
Its electronic total energy is -6.475 eV/atom. For the calculated volume, the calculation gives 137 Å³/f.u. The symmetry is P-3m1 (164).

***

Entry 3:
Entry from OQMD: a relaxed structure of Li4GaAg2As (PBE-GGA).

abc: 4.397 4.397 6.395
angles: 90.00 90.00 90.00
Positions (direct):
Ag 0.000 0.500 0.241
Ag 0.500 0.000 0.759
As 0.500 0.500 0.500
Ga 0.000 0.000 0.000
Li 0.500 0.500 0.000
Li 0.500 0.000 0.253
Li 0.000 0.000 0.500
Li 0.000 0.500 0.747

Computed properties:
Its electronic total energy is -3.006 eV/atom. For the calculated volume, the calculation gives 124 Å³/f.u. The symmetry is P-4m2 (115).

***

Entry 4:
Entry from OQMD: a relaxed structure of AsPdNO (PBE-GGA).

abc: 4.568 6.736 7.117
angles: 90.00 90.00 90.00
Positions (direct):
As 0.910 0.556 0.342
As 0.410 0.944 0.342
As 0.910 0.056 0.658
As 0.410 0.444 0.658
N 0.558 0.125 0.151
N 0.058 0.375 0.151
N 0.558 0.625 0.849
N 0.058 0.875 0.849
O 0.249 0.607 0.480
O 0.749 0.893 0.480
O 0.249 0.107 0.520
O 0.749 0.393 0.520
Pd 0.985 0.090 0.057
Pd 0.485 0.410 0.057
Pd 0.985 0.590 0.943
Pd 0.485 0.910 0.943

Computed properties:
Its electronic total energy is -5.771 eV/atom. The value obtained for the energy above the most stable polymorph in this dataset is 0.0000 eV per atom. For the calculated volume, the calculation gives 55 Å³/f.u. The symmetry is Pca2_1 (29).

***

Entry 5:
Entry from OQMD: a relaxed structure of Sr2MgTcN6 (PBE-GGA).

abc: 5.703 5.703 5.703
angles: 120.02 120.02 89.96
Positions (direct):
Mg 0.000 0.000 0.000
N 0.743 0.257 0.000
N 0.257 0.257 0.000
N 0.743 0.743 0.000
N 0.257 0.743 0.000
N 0.743 0.743 0.485
N 0.257 0.257 0.515
Sr 0.750 0.250 0.500
Sr 0.250 0.750 0.500
Tc 0.500 0.500 0.000

Computed properties:
Its electronic total energy is -6.305 eV/atom. For the calculated volume, the calculation gives 131 Å³/f.u. The symmetry is Fm-3m (225).

***

Entry 6:
Entry from OQMD: a relaxed structure of GdDy3Ni4 (PBE-GGA).

abc: 5.416 4.188 7.035
angles: 90.00 90.09 90.00
Positions (direct):
Dy 0.869 0.000 0.179
Dy 0.631 0.000 0.681
Dy 0.131 0.500 0.820
Gd 0.369 0.500 0.320
Ni 0.374 0.000 0.037
Ni 0.874 0.500 0.463
Ni 0.125 0.000 0.539
Ni 0.626 0.500 0.961

Computed properties:
The calculation puts the calculated formation energy at -0.451 eV per atom. Its electronic total energy is -5.542 eV/atom. For the calculated volume, the calculation gives 160 Å³/f.u. The symmetry is Pm (6).

***

Entry 7:
Entry from OQMD: a relaxed structure of Na2Ir (PBE-GGA).

abc: 8.872 8.872 8.872
angles: 60.00 60.00 60.00
Positions (direct):
Ir 0.250 0.250 0.250
Ir 0.500 0.500 0.500
Na 0.375 0.375 0.375
Na 0.875 0.375 0.375
Na 0.375 0.875 0.375
Na 0.375 0.375 0.875

Computed properties:
Its electronic total energy is -2.364 eV/atom. For the calculated volume, the calculation gives 247 Å³/f.u. The symmetry is Fd-3m (227).

***

Entry 8:
Entry from OQMD: a relaxed structure of GdNi2N2 (PBE-GGA).

abc: 3.644 3.644 8.201
angles: 90.00 90.00 90.00
Positions (direct):
Gd 0.000 0.500 0.266
Gd 0.500 0.000 0.734
N 0.500 0.000 0.148
N 0.000 0.000 0.500
N 0.500 0.500 0.500
N 0.000 0.500 0.852
Ni 0.000 0.000 0.000
Ni 0.500 0.500 0.000
Ni 0.500 0.000 0.406
Ni 0.000 0.500 0.594

Computed properties:
Its electronic total energy is -6.645 eV/atom. For the calculated volume, the calculation gives 54 Å³/f.u. The symmetry is P4/nmm (129).